No. 1
Cd2BiPb: relaxed, GGA-PBE.

Calculated formation energy   61.1 meV per atom
V   459.9 Å³ per cell
DOS at the Fermi energy   1.7 states/eV/f.u.

Lattice parameters (Å, degrees): 4.6860 12.7404 7.7031 90.00 90.00 90.00
With the nearest neighbours (Å) after each atom.
Space group Cmcm (No. 63)
Unique sites:
Cd (0.0000, 0.1112, 0.0472) x8  2 Cd 2.92-3.12, 3 Bi 3.09-3.17
Bi (0.0000, 0.2745, 0.7500) x4  6 Cd 3.09-3.17
Pb (0.0000, 0.4533, 0.2500) x4  8 Cd 3.38-3.46, 3 Bi 3.47-3.73

=====

No. 2
YHo2Tm6: relaxed, GGA-PBE.

Calculated formation energy   106.6 meV per atom
V   1110.5 Å³ per cell
DOS at the Fermi energy   11.0 states/eV/f.u.

Lattice parameters (Å, degrees): 12.6140 14.0368 6.4639 90.00 103.99 90.00
With the nearest neighbours (Å) after each atom.
Space group C2/c (No. 15)
Unique sites:
Y (0.0000, 0.1191, 0.2500) x4  8 Tm 3.27-3.65
Ho (0.1415, 0.4764, 0.3696) x8  3 Ho 3.30-3.53, 7 Tm 3.31-3.57
Tm (0.0373, 0.3148, 0.0031) x8  5 Tm 3.18-3.54, 1 Y 3.27, 3 Ho 3.31-3.44
Tm (0.1348, 0.0890, 0.8149) x8  3 Tm 3.30-3.38, 3 Y 3.35-3.66, 2 Ho 3.44
Tm (0.2384, 0.3000, 0.7281) x8  7 Tm 3.34-3.73, 2 Ho 3.41-3.57, 1 Y 3.46

=====

Which of these has the lowest calculated formation energy? Cd2BiPb

=====

The lowest DOS at the Fermi energy belongs to which entry? Cd2BiPb

=====

Number 1 is which compound? Cd2BiPb

=====

Please write out number 1 again, unchanged.
Cd2BiPb: relaxed, GGA-PBE.

Calculated formation energy   61.1 meV per atom
V   459.9 Å³ per cell
DOS at the Fermi energy   1.7 states/eV/f.u.

Lattice parameters (Å, degrees): 4.6860 12.7404 7.7031 90.00 90.00 90.00
With the nearest neighbours (Å) after each atom.
Space group Cmcm (No. 63)
Unique sites:
Cd (0.0000, 0.1112, 0.0472) x8  2 Cd 2.92-3.12, 3 Bi 3.09-3.17
Bi (0.0000, 0.2745, 0.7500) x4  6 Cd 3.09-3.17
Pb (0.0000, 0.4533, 0.2500) x4  8 Cd 3.38-3.46, 3 Bi 3.47-3.73